1.
DFT (PBE) results for crystalline LiCN at its relaxed geometry.

a b c (Å): 8.7818 3.7428 6.6769
angles (deg): 90.00 90.00 90.00
Space group Pnma (No. 62)
Inequivalent atoms, fractional coordinates:
Li  0.1234  0.2500  0.0298
C  0.1984  0.7500  0.7468
N  0.0999  0.7500  0.8669

Calculated values
Energy above the lowest structure with this stoichiometry ... 0 meV/atom
Energy relative to the elements, uncorrected ... -0.258 eV/atom
E_tot ... -80.951 eV/cell


2.
DFT (PBE) results for crystalline RbDy4Cl12 at its relaxed geometry.

a b c (Å): 10.3440 10.3440 10.3440
angles (deg): 90.00 90.00 90.00
Space group Im-3 (No. 204)
Inequivalent atoms, fractional coordinates:
Rb  0.0000  0.0000  0.0000
Dy  0.2500  0.2500  0.2500
Cl  0.0000  0.2851  0.1991

Calculated values
Energy relative to the elements, uncorrected ... -2.156 eV/atom
E_tot ... -156.388 eV/cell


3.
DFT (PBE) results for crystalline Ce2Sm3DyN6 at its relaxed geometry.

a b c (Å): 6.1603 10.6728 6.1625
angles (deg): 90.00 109.44 90.00
Space group C2/m (No. 12)
Inequivalent atoms, fractional coordinates:
Ce  0.0000  0.1668  0.0000
Sm  0.0000  0.0000  0.5000
Sm  0.0000  0.3339  0.5000
Dy  0.0000  0.5000  0.0000
N  0.2455  0.0000  0.2410
N  0.2473  0.3325  0.2393

Calculated values
Energy relative to the elements, uncorrected ... -1.540 eV/atom
E_tot ... -198.112 eV/cell


4.
DFT (PBE) results for crystalline MnVCr3 at its relaxed geometry.

a b c (Å): 4.2365 4.2365 4.2365
angles (deg): 90.00 90.00 90.00
Space group Pm-3m (No. 221)
Inequivalent atoms, fractional coordinates:
Mn  0.0000  0.0000  0.0000
V  0.5000  0.5000  0.5000
Cr  0.0000  0.0000  0.5000

Calculated values
Energy above the lowest structure with this stoichiometry ... 843 meV/atom
Formation energy ... 1.0661 eV/atom
E_tot ... -41.828 eV/cell


Question: Among the records above, which one has the highest E_tot?
Answer: MnVCr3


Question: The lowest E_tot belongs to which entry?
Answer: Ce2Sm3DyN6


Copy entry 3 word for word.
DFT (PBE) results for crystalline Ce2Sm3DyN6 at its relaxed geometry.

a b c (Å): 6.1603 10.6728 6.1625
angles (deg): 90.00 109.44 90.00
Space group C2/m (No. 12)
Inequivalent atoms, fractional coordinates:
Ce  0.0000  0.1668  0.0000
Sm  0.0000  0.0000  0.5000
Sm  0.0000  0.3339  0.5000
Dy  0.0000  0.5000  0.0000
N  0.2455  0.0000  0.2410
N  0.2473  0.3325  0.2393

Calculated values
Energy relative to the elements, uncorrected ... -1.540 eV/atom
E_tot ... -198.112 eV/cell


Question: Among the records above, which one has the lowest E_tot?
Answer: Ce2Sm3DyN6